Tb3Cu3Ni2: relaxed, PBE-GGA.

Calculated values
- N(E_F) (states/eV/atom) = 0.6778
- total energy (eV per atom) = -5.040
- DFT formation energy (meV/atom) = -323
- symmetry = Pnma

Cell lengths 5.2697, 7.2328, 15.4430 Å; angles 90.00, 90.00, 90.00 degrees
With the nearest neighbours (Å) after each atom.
Fractional positions:
Tb 0.1234 0.4652 0.3950  3 Ni 2.84-2.87, 7 Cu 2.92-3.16
Tb 0.6234 0.0348 0.6050  3 Ni 2.84-2.87, 7 Cu 2.92-3.16
Tb 0.8766 0.5348 0.8950  3 Ni 2.84-2.87, 7 Cu 2.92-3.16
Tb 0.3766 0.9652 0.1050  3 Ni 2.84-2.87, 7 Cu 2.92-3.16
Tb 0.8766 0.5348 0.6050  3 Ni 2.84-2.87, 7 Cu 2.92-3.16
Tb 0.3766 0.9652 0.3950  3 Ni 2.84-2.87, 7 Cu 2.92-3.16
Tb 0.1234 0.4652 0.1050  3 Ni 2.84-2.87, 7 Cu 2.92-3.16
Tb 0.6234 0.0348 0.8950  3 Ni 2.84-2.87, 7 Cu 2.92-3.16
Tb 0.6335 0.3296 0.2500  3 Cu 2.82-2.88, 4 Ni 2.90-2.97
Tb 0.1335 0.1704 0.7500  3 Cu 2.82-2.88, 4 Ni 2.90-2.97
Tb 0.3665 0.6704 0.7500  3 Cu 2.82-2.88, 4 Ni 2.90-2.97
Tb 0.8665 0.8296 0.2500  3 Cu 2.82-2.88, 4 Ni 2.90-2.97
Cu 0.1269 0.1793 0.2500  2 Ni 2.54, 1 Tb 2.82
Cu 0.6269 0.3207 0.7500  2 Ni 2.54, 1 Tb 2.82
Cu 0.8731 0.8207 0.7500  2 Ni 2.54, 1 Tb 2.82
Cu 0.3731 0.6793 0.2500  2 Ni 2.54, 1 Tb 2.82
Cu 0.5969 0.3254 0.4688  3 Ni 2.45-2.55
Cu 0.0969 0.1746 0.5312  3 Ni 2.45-2.55
Cu 0.4031 0.6746 0.9688  3 Ni 2.45-2.55
Cu 0.9031 0.8254 0.0312  3 Ni 2.45-2.55
Cu 0.4031 0.6746 0.5312  3 Ni 2.45-2.55
Cu 0.9031 0.8254 0.4688  3 Ni 2.45-2.55
Cu 0.5969 0.3254 0.0312  3 Ni 2.45-2.55
Cu 0.0969 0.1746 0.9688  3 Ni 2.45-2.55
Ni 0.8735 0.1178 0.3869  4 Cu 2.45-2.55
Ni 0.3735 0.3822 0.6131  4 Cu 2.45-2.55
Ni 0.1265 0.8822 0.8869  4 Cu 2.45-2.55
Ni 0.6265 0.6178 0.1131  4 Cu 2.45-2.55
Ni 0.1265 0.8822 0.6131  4 Cu 2.45-2.55
Ni 0.6265 0.6178 0.3869  4 Cu 2.45-2.55
Ni 0.8735 0.1178 0.1131  4 Cu 2.45-2.55
Ni 0.3735 0.3822 0.8869  4 Cu 2.45-2.55